[1]
Material: Sm8Sb3As4
Method: DFT, PBE-GGA
State: relaxed

POSCAR file:
```
Sm8Sb3As4
1.0
6.094 -6.098 0.000
6.094 6.098 0.000
-6.039 0.000 6.106
Sm Sb As
8 3 4
Direct
0.236 0.236 0.484 Sm
0.238 0.238 0.988 Sm
0.243 0.757 0.000 Sm
0.244 0.756 0.500 Sm
0.756 0.244 0.500 Sm
0.757 0.243 0.000 Sm
0.762 0.762 0.012 Sm
0.764 0.764 0.516 Sm
0.000 0.500 0.500 Sb
0.500 0.000 0.500 Sb
0.500 0.500 0.500 Sb
0.000 0.000 0.000 As
0.000 0.000 0.500 As
0.000 0.500 0.000 As
0.500 0.000 0.000 As
```

Its uncorrected formation energy is -1216 meV/atom. For the magnetic moment, the calculation gives 0.5 μB per cell.

---

[2]
Material: Er4InTe2
Method: DFT, PBE-GGA
State: relaxed

POSCAR file:
```
Er4InTe2
1.0
-4.759 4.759 4.649
4.759 -4.759 4.649
4.759 4.759 -4.649
Er In Te
8 2 4
Direct
0.019 0.748 0.654 Er
0.094 0.365 0.346 Er
0.115 0.269 0.771 Er
0.252 0.981 0.346 Er
0.498 0.344 0.229 Er
0.635 0.906 0.654 Er
0.656 0.502 0.771 Er
0.731 0.885 0.229 Er
0.000 0.000 0.000 In
0.750 0.250 0.500 In
0.336 0.625 0.211 Te
0.375 0.664 0.789 Te
0.414 0.125 0.789 Te
0.875 0.586 0.211 Te
```

Its uncorrected formation energy is -761 meV/atom. For the magnetic moment, the calculation gives 0.0 μB per cell.

---

[3]
Material: NaPdRh2
Method: DFT, PBE-GGA
State: relaxed

POSCAR file:
```
NaPdRh2
1.0
0.000 3.150 3.150
3.150 0.000 3.150
3.150 3.150 0.000
Na Pd Rh
1 1 2
Direct
0.000 0.000 0.000 Na
0.500 0.500 0.500 Pd
0.250 0.250 0.250 Rh
0.750 0.750 0.750 Rh
```

The calculation puts the energy above the lowest structure with this stoichiometry at 0.00 kcal/mol of atoms. As for the formation energy from the elements: 457 meV/atom. For the magnetic moment, the calculation gives 1.4 μB per cell.